# 1
VASP calculation (GGA-PBEsol) on a geometry-optimized Be2FeIr structure.

The space group is I-4m2 (No. 119) and the conventional cell measures 3.399, 3.399 and 7.287 Å, with angles of 90.00, 90.00 and 90.00 degrees. The inequivalent atoms are Be at (0.000, 0.000, 0.000), Be at (0.000, 0.500, 0.250), Fe at (0.000, 0.000, 0.500) and Ir at (0.000, 0.500, 0.750).

The calculation puts the formation energy from the elements at -0.187 eV per atom. The total energy comes out at -6.884 eV per atom. The total magnetization is 5.42 Bohr magnetons per cell. For the volume, the calculation gives 84 Å³ per cell.



# 2
VASP calculation (GGA-PBEsol) on a geometry-optimized Be2FeIr structure.

The space group is I-42d (No. 122) and the conventional cell measures 5.928, 5.928 and 4.954 Å, with angles of 90.00, 90.00 and 90.00 degrees. The inequivalent atoms are Be at (0.242, 0.250, 0.125), Fe at (0.000, 0.000, 0.000) and Ir at (0.000, 0.000, 0.500).

The calculation puts the formation energy from the elements at 0.188 eV per atom. The total energy comes out at -6.508 eV per atom. The total magnetization is 9.80 Bohr magnetons per cell. For the volume, the calculation gives 174 Å³ per cell.



# 3
VASP calculation (GGA-PBEsol) on a geometry-optimized KBeFe4 structure.

The space group is F-43m (No. 216) and the conventional cell measures 6.978, 6.978 and 6.978 Å, with angles of 90.00, 90.00 and 90.00 degrees. The inequivalent atoms are K at (0.000, 0.000, 0.000), Be at (0.250, 0.250, 0.250) and Fe at (0.124, 0.124, 0.624).

The calculation puts the formation energy from the elements at 0.963 eV per atom. The total energy comes out at -5.869 eV per atom. The total magnetization is 38.90 Bohr magnetons per cell. For the volume, the calculation gives 340 Å³ per cell.



> Look up the total magnetization of the third one.

38.90 Bohr magnetons per cell